(1)
Entry from Alexandria: a relaxed NaRe2Au crystal (PBE-GGA).

Calculated values
Total energy (eV/atom): -5.974
E_form (eV per atom): 1.399
Density (g/cm³): 12.84
D(E_F) (states/eV per atom): 0.99

Structure (POSCAR):
```
NaRe2Au
1.0
-3.967 3.967 2.434
3.967 -3.967 2.434
3.967 3.967 -2.434
Na Re Au
2 4 2
Direct
0.000 0.000 0.000 Na
0.750 0.250 0.500 Na
0.168 0.625 0.043 Re
0.375 0.418 0.543 Re
0.582 0.125 0.957 Re
0.875 0.832 0.457 Re
0.250 0.750 0.500 Au
0.500 0.500 0.000 Au
```



(2)
Entry from Alexandria: a relaxed Na3ReAu crystal (PBE-GGA).

Calculated values
Total energy (eV/atom): -2.717
E_form (eV per atom): 1.220
Density (g/cm³): 4.65
D(E_F) (states/eV per atom): 1.08

Structure (POSCAR):
```
Na3ReAu
1.0
5.447 0.000 0.000
0.000 5.447 0.000
0.000 0.000 5.447
Na Re Au
3 1 1
Direct
0.000 0.000 0.500 Na
0.000 0.500 0.000 Na
0.500 0.000 0.000 Na
0.500 0.500 0.500 Re
0.000 0.000 0.000 Au
```



(3)
Entry from Alexandria: a relaxed NaRe2Au crystal (PBE-GGA).

Calculated values
Total energy (eV/atom): -5.930
E_form (eV per atom): 1.444
Density (g/cm³): 15.16
D(E_F) (states/eV per atom): 0.89

Structure (POSCAR):
```
NaRe2Au
1.0
0.000 3.190 3.190
3.190 0.000 3.190
3.190 3.190 0.000
Na Re Au
1 2 1
Direct
0.000 0.000 0.000 Na
0.250 0.250 0.250 Re
0.750 0.750 0.750 Re
0.500 0.500 0.500 Au
```



(4)
Entry from Alexandria: a relaxed NaRe2Au2 crystal (PBE-GGA).

Calculated values
Total energy (eV/atom): -6.035
E_form (eV per atom): 0.519
Density (g/cm³): 13.97
D(E_F) (states/eV per atom): 0.63

Structure (POSCAR):
```
NaRe2Au2
1.0
-1.810 1.810 7.161
1.810 -1.810 7.161
1.810 1.810 -7.161
Na Re Au
1 2 2
Direct
0.000 0.000 0.000 Na
0.250 0.750 0.500 Re
0.750 0.250 0.500 Re
0.404 0.404 0.000 Au
0.596 0.596 0.000 Au
```